Entry 1:
DFT (PBE-GGA) results for a relaxed structure of Tb6AlZn2.

Results
Calculated total energy: -3.7742 eV/atom
E above lowest polymorph: 228 meV/atom
Formation energy from the elements: 0.01 eV/atom

```
data_Tb6AlZn2
_cell_length_a 4.983
_cell_length_b 4.983
_cell_length_c 21.294
_cell_angle_alpha 90.00
_cell_angle_beta 90.00
_cell_angle_gamma 90.00
_symmetry_space_group_name_H-M 'I 4/m m m'
_symmetry_Int_Tables_number 139
_symmetry_space_group_name_Hall '-I 4 2'
loop_
_atom_site_label
_atom_site_type_symbol
_atom_site_fract_x
_atom_site_fract_y
_atom_site_fract_z
Tb1 Tb 0.000 0.500 0.085
Tb2 Tb 0.000 0.500 0.250
Al1 Al 0.000 0.000 0.000
Zn1 Zn 0.000 0.000 0.332
```

Entry 2:
DFT (PBE-GGA) results for a relaxed structure of MnNb5.

Results
Calculated total energy: -9.9280 eV/atom
E above lowest polymorph: 12 meV/atom
Formation energy from the elements: -0.01 eV/atom

```
data_MnNb5
_cell_length_a 4.665
_cell_length_b 13.554
_cell_length_c 3.238
_cell_angle_alpha 90.00
_cell_angle_beta 90.00
_cell_angle_gamma 90.00
_symmetry_space_group_name_H-M 'C m m m'
_symmetry_Int_Tables_number 65
_symmetry_space_group_name_Hall '-C 2 2'
loop_
_atom_site_label
_atom_site_type_symbol
_atom_site_fract_x
_atom_site_fract_y
_atom_site_fract_z
Mn1 Mn 0.000 0.000 0.000
Nb1 Nb 0.000 0.157 0.500
Nb2 Nb 0.000 0.334 0.000
Nb3 Nb 0.000 0.500 0.500
```

Entry 3:
DFT (PBE-GGA) results for a relaxed structure of CdSe2.

Results
Calculated total energy: -2.9075 eV/atom
Raw formation energy: -279 meV per atom

```
data_CdSe2
_cell_length_a 10.495
_cell_length_b 4.293
_cell_length_c 7.711
_cell_angle_alpha 90.00
_cell_angle_beta 105.02
_cell_angle_gamma 90.00
_symmetry_space_group_name_H-M 'C 1 2/m 1'
_symmetry_Int_Tables_number 12
loop_
_symmetry_equiv_pos_as_xyz
'x,y,z'
'-x,-y,-z'
'-x,y,-z'
'x,-y,z'
'x+1/2,y+1/2,z'
'-x+1/2,-y+1/2,-z'
'-x+1/2,y+1/2,-z'
'x+1/2,-y+1/2,z'
loop_
_atom_site_label
_atom_site_type_symbol
_atom_site_fract_x
_atom_site_fract_y
_atom_site_fract_z
Cd1 Cd 0.250 0.000 0.250
Se1 Se 0.119 0.000 0.533
Se2 Se 0.119 0.500 0.034
```

Entry 4:
DFT (PBE-GGA) results for a relaxed structure of Ac2La3PmP6.

Results
Calculated total energy: -6.5387 eV/atom
Formation energy from the elements: -1.52 eV/atom

```
data_Ac2La3PmP6
_cell_length_a 7.474
_cell_length_b 12.943
_cell_length_c 7.467
_cell_angle_alpha 90.00
_cell_angle_beta 109.49
_cell_angle_gamma 90.00
_symmetry_space_group_name_H-M 'C 1 2/m 1'
_symmetry_Int_Tables_number 12
loop_
_symmetry_equiv_pos_as_xyz
'x,y,z'
'-x,-y,-z'
'-x,y,-z'
'x,-y,z'
'x+1/2,y+1/2,z'
'-x+1/2,-y+1/2,-z'
'-x+1/2,y+1/2,-z'
'x+1/2,-y+1/2,z'
loop_
_atom_site_label
_atom_site_type_symbol
_atom_site_fract_x
_atom_site_fract_y
_atom_site_fract_z
Ac1 Ac 0.000 0.166 0.000
La1 La 0.000 0.000 0.500
La2 La 0.000 0.333 0.500
Pm1 Pm 0.000 0.500 0.000
P1 P 0.239 0.500 0.746
P2 P 0.247 0.338 0.254
```

Entry 5:
DFT (PBE-GGA) results for a relaxed structure of S5N.

Results
Calculated total energy: -4.2068 eV/atom
Raw formation energy: 620 meV per atom

```
data_S5N
_cell_length_a 11.991
_cell_length_b 2.900
_cell_length_c 8.635
_cell_angle_alpha 90.00
_cell_angle_beta 109.07
_cell_angle_gamma 90.00
_symmetry_space_group_name_H-M 'C 1 m 1'
_symmetry_Int_Tables_number 8
loop_
_symmetry_equiv_pos_as_xyz
'x,y,z'
'x,-y,z'
'x+1/2,y+1/2,z'
'x+1/2,-y+1/2,z'
loop_
_atom_site_label
_atom_site_type_symbol
_atom_site_fract_x
_atom_site_fract_y
_atom_site_fract_z
S1 S 0.000 0.000 0.000
S2 S 0.062 0.000 0.598
S3 S 0.154 0.500 0.516
S4 S 0.226 0.500 0.134
S5 S 0.326 0.000 0.294
N1 N 0.459 0.000 0.896
```

Entry 6:
DFT (PBE-GGA) results for a relaxed structure of RbPd4Pb4.

Results
Calculated total energy: -4.2656 eV/atom
Formation energy from the elements: -0.20 eV/atom

```
data_RbPd4Pb4
_cell_length_a 9.532
_cell_length_b 9.532
_cell_length_c 5.445
_cell_angle_alpha 90.00
_cell_angle_beta 90.00
_cell_angle_gamma 90.00
_symmetry_space_group_name_H-M 'P 42/n'
_symmetry_Int_Tables_number 86
loop_
_symmetry_equiv_pos_as_xyz
'x,y,z'
'-x,-y,-z'
'-y,x+1/2,z+1/2'
'y,-x+1/2,-z+1/2'
'-x+1/2,-y+1/2,z'
'x+1/2,y+1/2,-z'
'y+1/2,-x,z+1/2'
'-y+1/2,x,-z+1/2'
loop_
_atom_site_label
_atom_site_type_symbol
_atom_site_fract_x
_atom_site_fract_y
_atom_site_fract_z
Rb1 Rb 0.250 0.250 0.250
Pd1 Pd 0.078 0.921 0.177
Pb1 Pb 0.116 0.629 0.177
```